12
Lattice="2.777 1.603 8.781 -2.777 1.603 8.781 0.000 -3.207 8.781" Properties=species:S:1:pos:R:3 comment="GdDy2Al7Ag2 | the Open Quantum Materials Database | GGA-PBE | relaxed" e_tot_ev_per_atom=-4.27 pbc="T T T"
Gd 0.000 0.000 0.000
Dy 0.000 0.000 3.747
Dy 0.000 0.000 22.595
Al -1.422 -0.821 10.991
Al 0.000 -1.642 15.351
Al -1.422 0.821 15.351
Al 0.000 0.000 13.171
Al 1.422 -0.821 10.991
Al 0.000 1.642 10.991
Al 1.422 0.821 15.351
Ag 0.000 0.000 8.846
Ag 0.000 0.000 17.497

=====

9
Lattice="7.937 0.000 0.000 -3.969 6.874 0.000 0.000 0.000 4.237" Properties=species:S:1:pos:R:3 comment="Tb6Ge2Pd | the Open Quantum Materials Database | GGA-PBE | relaxed" e_tot_ev_per_atom=-5.29 pbc="T T T"
Tb -1.623 2.810 0.000
Tb -2.941 5.094 2.118
Tb 1.027 1.780 2.118
Tb 3.245 0.000 0.000
Tb 2.346 4.064 0.000
Tb 5.883 0.000 2.118
Ge 0.000 4.583 2.118
Ge 3.969 2.291 2.118
Pd 0.000 0.000 0.000

=====

6
Lattice="4.844 -2.938 0.000 4.844 2.938 0.000 0.000 0.000 5.375" Properties=species:S:1:pos:R:3 comment="TmMg2 | the Open Quantum Materials Database | GGA-PBE | relaxed" e_tot_ev_per_atom=-2.50 pbc="T T T"
Tm 4.844 1.959 4.031
Tm 4.844 -1.959 1.344
Mg 3.237 0.931 1.344
Mg 3.237 -0.931 4.031
Mg 6.450 0.931 1.344
Mg 6.450 -0.931 4.031

=====

24
Lattice="4.847 -2.786 0.000 4.847 2.786 0.000 -3.455 0.000 13.406" Properties=species:S:1:pos:R:3 comment="Hf4Sc2Fe3C3 | the Open Quantum Materials Database | GGA-PBE | relaxed" e_tot_ev_per_atom=-9.09 pbc="T T T"
Hf 0.794 0.492 1.246
Hf 0.716 0.454 5.454
Hf -0.934 -0.492 7.949
Hf -1.012 -0.454 12.157
Hf 7.251 0.454 1.249
Hf 7.173 0.492 5.457
Hf 5.524 -0.454 7.952
Hf 5.446 -0.492 12.160
Sc 4.044 0.466 1.496
Sc 3.923 0.466 5.207
Sc 2.316 -0.466 8.199
Sc 2.196 -0.466 11.910
Fe 2.256 2.228 10.054
Fe -0.066 0.864 10.063
Fe 1.662 -0.864 3.360
Fe 4.578 0.864 10.046
Fe 6.305 -0.864 3.343
Fe 3.983 -2.228 3.351
C 2.424 1.393 0.000
C 2.306 1.399 6.694
C 5.660 1.399 0.009
C 0.696 -1.393 6.703
C 0.579 -1.399 13.397
C 3.933 -1.399 6.712